[1]
5
Lattice="4.217 0.000 0.000 0.000 4.217 0.000 0.000 0.000 4.711" Properties=species:S:1:pos:R:3 comment="LaHfB2P (SCAN, single point on PBEsol structure)" density_g_cm3=7.34 magnetic_moment_mub_per_cell=0.00 final_energy_ev_per_cell=-126.8 delta_e_f_ev_per_atom=0.84 pbc="T T T"
La 0.000 0.000 0.000
Hf 2.108 2.108 0.000
B 0.000 2.108 2.355
B 2.108 0.000 2.355
P 2.108 2.108 2.355

[2]
5
Lattice="4.336 0.000 0.000 0.000 4.336 0.000 0.000 0.000 4.599" Properties=species:S:1:pos:R:3 comment="LaHfBPd2 (SCAN, single point on PBEsol structure)" density_g_cm3=10.39 magnetic_moment_mub_per_cell=0.00 final_energy_ev_per_cell=-180.2 delta_e_f_ev_per_atom=-0.29 pbc="T T T"
La 0.000 0.000 0.000
Hf 2.168 2.168 0.000
B 2.168 2.168 2.299
Pd 0.000 2.168 2.299
Pd 2.168 0.000 2.299

[3]
5
Lattice="5.465 0.000 0.000 0.000 5.465 0.000 0.000 0.000 4.321" Properties=species:S:1:pos:R:3 comment="La2HfScB (SCAN, single point on PBEsol structure)" density_g_cm3=6.59 magnetic_moment_mub_per_cell=3.26 final_energy_ev_per_cell=-164.5 delta_e_f_ev_per_atom=1.22 pbc="T T T"
La 0.000 2.732 0.000
La 2.732 0.000 0.000
Hf 0.000 0.000 2.161
Sc 2.732 2.732 0.000
B 2.732 2.732 2.161

[4]
5
Lattice="6.012 0.000 0.000 0.000 6.012 0.000 0.000 0.000 5.190" Properties=species:S:1:pos:R:3 comment="Sr2LaHfB (SCAN, single point on PBEsol structure)" density_g_cm3=4.46 magnetic_moment_mub_per_cell=0.00 final_energy_ev_per_cell=-148.1 delta_e_f_ev_per_atom=1.93 pbc="T T T"
Sr 0.000 3.006 0.000
Sr 3.006 0.000 0.000
La 0.000 0.000 0.000
Hf 0.000 0.000 2.595
B 3.006 3.006 2.595

[5]
5
Lattice="5.199 0.000 0.000 0.000 5.199 0.000 0.000 0.000 4.594" Properties=species:S:1:pos:R:3 comment="La2HfTlB (SCAN, single point on PBEsol structure)" density_g_cm3=8.98 magnetic_moment_mub_per_cell=2.62 final_energy_ev_per_cell=-226.6 delta_e_f_ev_per_atom=0.42 pbc="T T T"
La 0.000 2.600 0.000
La 2.600 0.000 0.000
Hf 0.000 0.000 2.297
Tl 2.600 2.600 2.297
B 2.600 2.600 0.000

[6]
5
Lattice="3.636 0.000 0.000 0.000 3.636 0.000 0.000 0.000 3.636" Properties=species:S:1:pos:R:3 comment="LiHfB3 (SCAN, single point on PBEsol structure)" density_g_cm3=7.52 magnetic_moment_mub_per_cell=0.00 final_energy_ev_per_cell=-82.4 delta_e_f_ev_per_atom=0.98 pbc="T T T"
Li 0.000 0.000 0.000
Hf 1.818 1.818 1.818
B 0.000 0.000 1.818
B 0.000 1.818 0.000
B 1.818 0.000 0.000

Number 5 is which compound?
La2HfTlB